# LiFeRh2O

A geometry-optimized LiFeRh2O structure (GGA+U, Alexandria).

Results
Calculated volume in Å³/atom: 16.261
Total energy in eV per atom: -4.935

a b c (Å): 4.795 4.795 3.536
angles (deg): 90.00 90.00 90.00
Space group P4/mmm (No. 123)
Asymmetric unit:
1 Li 0.000 0.000 0.000 [1 per cell]
2 Fe 0.500 0.500 0.500 [1 per cell]
3 Rh 0.000 0.500 0.500 [2 per cell]
4 O 0.500 0.500 0.000 [1 per cell]